# Pr8MgGa2

Crystalline Pr8MgGa2 at its relaxed geometry (GGA-PBE, Alexandria).

```
data_Pr8MgGa2
_cell_length_a 4.9897
_cell_length_b 8.1400
_cell_length_c 9.3415
_cell_angle_alpha 108.67
_cell_angle_beta 105.49
_cell_angle_gamma 90.00
_symmetry_space_group_name_H-M 'P 1'
_symmetry_Int_Tables_number 1
loop_
_symmetry_equiv_pos_as_xyz
'x,y,z'
loop_
_atom_site_label
_atom_site_fract_x
_atom_site_fract_y
_atom_site_fract_z
_atom_site_occupancy
Pr1 0.6761 0.9453 0.3522 1
Mg1 0.5000 0.0000 0.0000 1
Pr2 0.3239 0.0547 0.6478 1
Ga1 0.7919 0.3233 0.5838 1
Pr3 0.0452 0.7375 0.0903 1
Pr4 0.5977 0.4611 0.1955 1
Pr5 0.9548 0.2625 0.9097 1
Ga2 0.2081 0.6767 0.4162 1
Pr6 0.4023 0.5389 0.8045 1
Pr7 0.1782 0.2724 0.3564 1
Pr8 0.8218 0.7276 0.6436 1
```

Results
Total moment, μB/f.u.: 0.00
VASP energy, Ha/atom: -0.1603
Formation energy from the elements, meV per atom: -191